[1]
A relaxed structure of LaTcPb2. Source: Alexandria, functional GGA-PBEsol.

Cell: 4.542 4.542 5.768 Å, 113.19 113.19 90.00°
Last column: magnetic moment on the atom in μB.
Element x y z (fractional)
La (0.250, 0.750, 0.500)  0.01
Pb (0.000, 0.000, 0.000)  -0.02
Pb (0.750, 0.250, 0.500)  0.00
Tc (0.500, 0.500, 0.000)  1.82

Results
Energy of formation   328 meV/atom
Space-group type   No. 119

***

[2]
A relaxed structure of La2TePb. Source: Alexandria, functional GGA-PBEsol.

Cell: 5.020 5.665 5.665 Å, 62.47 63.70 63.70°
Element x y z (fractional)
La (0.247, 0.753, 0.753)
La (0.753, 0.247, 0.247)
Pb (0.000, 0.500, 0.500)
Te (0.500, 0.000, 0.000)

Results
Energy relative to the lowest polymorph listed for this composition   0.185 eV/atom
Space-group type   No. 71
Energy relative to the elements, uncorrected   -3.79 eV per formula unit

***

[3]
A relaxed structure of LaTePb2. Source: Alexandria, functional GGA-PBEsol.

Cell: 4.616 4.616 6.704 Å, 109.40 109.40 92.01°
Element x y z (fractional)
La (0.500, 0.500, 0.000)
Pb (0.500, 0.000, 0.500)
Pb (0.000, 0.500, 0.500)
Te (0.000, 0.000, 0.000)

Results
Space-group type   No. 69
Energy relative to the elements, uncorrected   -2.45 eV per formula unit

***

[4]
A relaxed structure of La2TePb. Source: Alexandria, functional GGA-PBEsol.

Cell: 3.770 3.770 8.377 Å, 90.00 90.00 90.00°
Element x y z (fractional)
La (0.000, 0.000, 0.739)
La (0.000, 0.000, 0.261)
Pb (0.500, 0.500, 0.000)
Te (0.500, 0.500, 0.500)

Results
Energy relative to the lowest polymorph listed for this composition   0.095 eV/atom
Space-group type   No. 123
Energy relative to the elements, uncorrected   -4.15 eV per formula unit

***

[5]
A relaxed structure of La2TePb. Source: Alexandria, functional GGA-PBEsol.

Cell: 4.588 4.588 7.892 Å, 73.10 73.10 60.00°
Element x y z (fractional)
Pb (0.000, 0.000, 0.000)
Te (0.500, 0.500, 0.500)
La (0.252, 0.252, 0.245)
La (0.748, 0.748, 0.755)

Results
Energy relative to the lowest polymorph listed for this composition   0.023 eV/atom
Space-group type   No. 166
Energy relative to the elements, uncorrected   -4.44 eV per formula unit

***

[6]
A relaxed structure of La2TePb. Source: Alexandria, functional GGA-PBEsol.

Cell: 4.569 4.569 6.447 Å, 90.00 90.00 90.00°
Element x y z (fractional)
Pb (0.500, 0.500, 0.000)
Te (0.000, 0.000, 0.500)
La (0.000, 0.000, 0.000)
La (0.500, 0.500, 0.500)

Results
Energy relative to the lowest polymorph listed for this composition   0.000 eV/atom
Space-group type   No. 123
Energy relative to the elements, uncorrected   -4.53 eV per formula unit

***

[7]
A relaxed structure of La4TePb. Source: Alexandria, functional GGA-PBEsol.

Cell: 6.379 6.379 6.379 Å, 60.00 60.00 60.00°
Element x y z (fractional)
La (0.376, 0.376, 0.376)
La (0.376, 0.376, 0.873)
La (0.873, 0.376, 0.376)
La (0.376, 0.873, 0.376)
Pb (0.750, 0.750, 0.750)
Te (0.000, 0.000, 0.000)

Results
Space-group type   No. 216
Energy relative to the elements, uncorrected   -1.38 eV per formula unit

***

[8]
A relaxed structure of La3TiPb. Source: Alexandria, functional GGA-PBEsol.

Cell: 5.995 5.995 5.995 Å, 90.00 90.00 90.00°
Last column: magnetic moment on the atom in μB.
Element x y z (fractional)
Pb (0.000, 0.000, 0.000)  0.04
Ti (0.500, 0.500, 0.500)  1.93
La (0.000, 0.500, 0.000)  0.24
La (0.000, 0.000, 0.500)  0.24
La (0.500, 0.000, 0.000)  0.24

Results
Energy of formation   779 meV/atom
Space-group type   No. 221

***

[9]
A relaxed structure of La2TlPb. Source: Alexandria, functional GGA-PBEsol.

Cell: 3.630 4.494 7.289 Å, 90.00 90.00 90.00°
Element x y z (fractional)
Pb (0.500, 0.500, 0.500)
Tl (0.500, 0.500, 0.000)
La (0.000, 0.000, 0.248)
La (0.000, 0.000, 0.752)

Results
Energy of formation   -549 meV/atom
Space-group type   No. 47

***

[10]
A relaxed structure of La2TlPb. Source: Alexandria, functional GGA-PBEsol.

Cell: 4.435 4.923 6.364 Å, 112.76 110.39 90.00°
Element x y z (fractional)
Pb (0.481, 0.481, 0.962)
Tl (0.767, 0.267, 0.535)
La (0.008, 0.008, 0.015)
La (0.244, 0.744, 0.488)

Results
Energy of formation   -520 meV/atom
Space-group type   No. 44

***

[11]
A relaxed structure of La2TlPb. Source: Alexandria, functional GGA-PBEsol.

Cell: 3.603 5.806 5.806 Å, 102.43 90.00 90.00°
Element x y z (fractional)
Pb (0.500, 0.500, 0.500)
Tl (0.500, 0.000, 0.000)
La (0.000, 0.000, 0.500)
La (0.000, 0.500, 0.000)

Results
Energy of formation   -552 meV/atom
Space-group type   No. 65

***

[12]
A relaxed structure of La2Tl2Pb. Source: Alexandria, functional GGA-PBEsol.

Cell: 4.717 8.026 8.026 Å, 90.00 90.00 90.00°
Element x y z (fractional)
Pb (0.000, 0.000, 0.000)
Pb (0.000, 0.500, 0.500)
Tl (0.000, 0.369, 0.869)
Tl (0.000, 0.869, 0.631)
Tl (0.000, 0.631, 0.131)
Tl (0.000, 0.131, 0.369)
La (0.500, 0.169, 0.669)
La (0.500, 0.669, 0.831)
La (0.500, 0.831, 0.331)
La (0.500, 0.331, 0.169)

Results
Energy of formation   -451 meV/atom
Space-group type   No. 127